TcPAu2 | PBE | relaxed

Fermi-level density of states: 2.624 states/eV per cell
ΔE_f: 427.6 meV/atom
Electronic total energy: -20.62 eV/cell

Cell: 3.0421 4.3361 4.9622 Å, 90.00 90.00 90.00°
Element x y z (fractional)
Tc  0.0000  0.0000  0.0000
P  0.5000  0.5000  0.0000
Au  0.0000  0.5000  0.5000
Au  0.5000  0.0000  0.5000

=====

CsSmCdCl6 | PBE | relaxed

Fermi-level density of states: 0.000 states/eV per cell
Uncorrected formation energy: -1.80 eV/atom
Electronic total energy: -67.52 eV/cell

Cell: 9.9235 9.9235 9.9235 Å, 122.63 119.05 88.58°
Element x y z (fractional)
Cs  0.3090  0.0590  0.2500
Cs  0.6910  0.9410  0.7500
Sm  0.0000  0.5000  0.5000
Sm  0.5000  0.5000  0.0000
Cd  0.0000  0.0000  0.5000
Cd  0.0000  0.5000  0.0000
Cl  0.0644  0.4083  0.2325
Cl  0.0644  0.8320  0.6561
Cl  0.0650  0.8150  0.2500
Cl  0.3241  0.1680  0.7325
Cl  0.3241  0.5917  0.1561
Cl  0.3258  0.5758  0.7500
Cl  0.6742  0.4242  0.2500
Cl  0.6759  0.4083  0.8439
Cl  0.6759  0.8320  0.2675
Cl  0.9350  0.1850  0.7500
Cl  0.9356  0.1680  0.3439
Cl  0.9356  0.5917  0.7675

=====

SrCr2Br | PBE | relaxed

Fermi-level density of states: 3.423 states/eV per cell
Uncorrected formation energy: 0.59 eV/atom
Polymorph energy (0 for the lowest one): 2.15 eV/f.u.
Electronic total energy: -20.23 eV/cell

Cell: 5.4240 5.4240 5.4240 Å, 119.95 119.95 90.09°
Element x y z (fractional)
Sr  0.0000  0.0000  0.0000
Cr  0.2500  0.7500  0.5000
Cr  0.5000  0.5000  0.0000
Br  0.7500  0.2500  0.5000

=====

Sr2LiRe | PBE | relaxed

Fermi-level density of states: 2.802 states/eV per cell
ΔE_f: 782.4 meV/atom
Polymorph energy (0 for the lowest one): 0.02 eV/f.u.
Electronic total energy: -14.60 eV/cell

Cell: 3.5502 3.5502 9.5115 Å, 90.00 90.00 90.00°
Element x y z (fractional)
Sr  0.0000  0.0000  0.2065
Sr  0.0000  0.0000  0.7935
Li  0.5000  0.5000  0.5000
Re  0.5000  0.5000  0.0000